MoCO2F PBE+U optimized geometry; magnetization = 3.55 μB/f.u.; N(E_F) = 2.06 states/eV/cell; V = 49.3 Å³/cell; VASP energy = -5.207 eV/atom
1.0
3.6953 0.0000 0.0000
0.0000 3.6953 0.0000
0.0000 0.0000 3.6130
Mo C O F
1 1 2 1
Cartesian
0.0000 0.0000 0.0000 Mo
1.8476 1.8476 1.8065 C
0.0000 1.8476 1.8065 O
1.8476 0.0000 1.8065 O
1.8476 1.8476 0.0000 F